Version w
This record from the Alexandria database describes a relaxed RbBaAsBr2 crystal. The functional is PBE.

total magnetic moment	2.001	μB per formula unit
V	52.9	Å³ per atom

```
data_RbBaAsBr2
_chemical_formula_sum 'Rb1 Ba1 As1 Br2'
_cell_length_a 6.346
_cell_length_b 6.346
_cell_length_c 6.571
_cell_angle_alpha 90.00
_cell_angle_beta 90.00
_cell_angle_gamma 90.00
_symmetry_space_group_name_H-M 'P 4/m m m'
_symmetry_Int_Tables_number 123
_symmetry_space_group_name_Hall '-P 4 2'
loop_
_atom_site_label
_atom_site_type_symbol
_atom_site_fract_x
_atom_site_fract_y
_atom_site_fract_z
Rb1 Rb 0.000 0.000 0.000
Ba1 Ba 0.500 0.500 0.500
As1 As 0.500 0.500 0.000
Br1 Br 0.000 0.500 0.500
```

***

Version x
This record from the Alexandria database describes a relaxed RbBaAsBr2 crystal. The functional is PBE.

total magnetic moment	0.998	μB per formula unit
V	43.1	Å³ per atom

```
data_RbBaAsBr2
_chemical_formula_sum 'Rb1 Ba1 As1 Br2'
_cell_length_a 6.050
_cell_length_b 6.050
_cell_length_c 5.883
_cell_angle_alpha 90.00
_cell_angle_beta 90.00
_cell_angle_gamma 90.00
_symmetry_space_group_name_H-M 'P 4/m m m'
_symmetry_Int_Tables_number 123
_symmetry_space_group_name_Hall '-P 4 2'
loop_
_atom_site_label
_atom_site_type_symbol
_atom_site_fract_x
_atom_site_fract_y
_atom_site_fract_z
Rb1 Rb 0.000 0.000 0.000
Ba1 Ba 0.500 0.500 0.500
As1 As 0.000 0.000 0.500
Br1 Br 0.000 0.500 0.000
```

***

Structures ranked by computed energy, the most stable listed first: version w, version x.